VASP calculation (PBE) on a relaxed structure of SnMoPOs2.

- Energy: -7.890 eV/atom
- Total moment: 0.0000 μB/atom
- ΔE_f: 3.25 eV/f.u.

extended XYZ file:
```
5
Lattice="4.382 0.000 0.000 0.000 4.526 0.000 0.000 0.000 4.382" Properties=species:S:1:pos:R:3 pbc="T T T"
Os 2.191 0.000 0.000
Os 0.000 0.000 2.191
Sn 2.191 2.263 2.191
P 0.000 0.000 0.000
Mo 0.000 2.263 0.000
```

=====

VASP calculation (PBE) on a relaxed structure of SrMoP2Os.

- Energy: -7.506 eV/atom
- Total moment: 0.0000 μB/atom
- ΔE_f: -2.97 eV/f.u.

extended XYZ file:
```
5
Lattice="4.077 0.000 0.000 0.000 4.077 0.000 -2.038 -2.038 5.810" Properties=species:S:1:pos:R:3 pbc="T T T"
Os 0.000 2.038 2.905
Sr 0.000 0.000 0.000
P 0.000 0.000 4.154
P 2.038 2.038 1.656
Mo 2.038 0.000 2.905
```

=====

VASP calculation (PBE) on a relaxed structure of Zn2MoPOs.

- Energy: -4.301 eV/atom
- Total moment: 0.0881 μB/atom
- ΔE_f: 8.51 eV/f.u.

extended XYZ file:
```
5
Lattice="4.839 0.000 0.000 0.000 4.680 0.000 0.000 0.000 4.839" Properties=species:S:1:pos:R:3 pbc="T T T"
Zn 2.420 0.000 0.000
Zn 0.000 0.000 2.420
P 2.420 2.340 2.420
Os 0.000 2.340 0.000
Mo 0.000 0.000 0.000
```